! GGA+U RbLaFeF2, relaxed; values from VASP
&SYSTEM
  ibrav = 0, nat = 5, ntyp = 4
/
ATOMIC_SPECIES
F 19.00 F.upf
Fe 55.84 Fe.upf
Rb 85.47 Rb.upf
La 138.91 La.upf
ATOMIC_POSITIONS crystal
F 0.000 0.000 0.500
F 0.500 0.000 0.000
Fe 0.000 0.500 0.000
Rb 0.500 0.500 0.500
La 0.000 0.000 0.000
CELL_PARAMETERS angstrom
-0.426 -4.437 1.709
5.792 -1.380 -2.138
1.872 1.420 4.155
! * calculated volume: 144 Å³ per cell
! * calculated total energy: -4.679 eV per atom
! * total magnetic moment: 3.07 μB per formula unit